# 1
Here is MgVWCl2 after structural relaxation from the Alexandria database. Energies are from GGA-PBE.

Structure (POSCAR):
```
MgVWCl2
1.0
-2.168 -0.101 -4.047
-2.699 -3.825 1.541
-3.173 2.894 1.627
V W Cl Mg
1 1 2 1
Direct
0.000 0.000 0.000
0.000 0.500 0.000
0.000 0.000 0.500
0.500 0.000 0.000
0.500 0.500 0.500
```

Computed properties:
**Density of states at the Fermi level**: 5.1 states/eV/f.u.
**Symmetry**: P4/mmm
**Total DFT energy (no corrections)**: -4.806 eV/atom

=====

# 2
Here is Mg2WCl after structural relaxation from the Alexandria database. Energies are from GGA-PBE.

Structure (POSCAR):
```
Mg2WCl
1.0
2.967 0.000 0.000
0.000 4.954 0.000
0.000 0.000 5.010
Mg Cl W
2 1 1
Direct
0.000 0.000 0.000
0.500 0.500 0.000
0.000 0.500 0.500
0.500 0.000 0.500
```

Computed properties:
**Density of states at the Fermi level**: 3.4 states/eV/f.u.
**Symmetry**: Pmmm
**Total DFT energy (no corrections)**: -3.822 eV/atom

=====

# 3
Here is Mg2WCl after structural relaxation from the Alexandria database. Energies are from GGA-PBE.

Structure (POSCAR):
```
Mg2WCl
1.0
5.847 0.000 0.000
3.154 4.924 0.000
-4.501 -2.462 2.806
W Mg Cl
1 2 1
Direct
0.500 0.500 0.000
0.000 0.000 0.000
0.250 0.750 0.500
0.750 0.250 0.500
```

Computed properties:
**Density of states at the Fermi level**: 2.5 states/eV/f.u.
**Symmetry**: I-4m2
**Total DFT energy (no corrections)**: -3.758 eV/atom

=====

- Among the records above, which one has the lowest total DFT energy (no corrections)?
  MgVWCl2

=====

- Which of these has the highest density of states at the Fermi level?
  MgVWCl2

=====

- total DFT energy (no corrections) of number 2 (Mg2WCl)?
  -3.822 eV/atom